The following is a PBE calculation of crystalline CsGaRe at its relaxed geometry, from the Open Quantum Materials Database.

Properties
The value obtained for the raw total energy is -3.5669 eV per atom. As for the space group: No. 216.

Structure (POSCAR):
```
CsGaRe
1.0
0.0000 3.5610 3.5610
3.5610 0.0000 3.5610
3.5610 3.5610 0.0000
Cs Ga Re
1 1 1
Direct
0.0000 0.0000 0.0000 Cs
0.5000 0.5000 0.5000 Ga
0.2500 0.2500 0.2500 Re
```

***

The following is a PBE calculation of crystalline CsGaRe at its relaxed geometry, from the Open Quantum Materials Database.

Properties
The value obtained for the raw total energy is -3.4998 eV per atom. As for the space group: No. 216.

Structure (POSCAR):
```
CsGaRe
1.0
0.0000 3.6248 3.6248
3.6248 0.0000 3.6248
3.6248 3.6248 0.0000
Cs Ga Re
1 1 1
Direct
0.0000 0.0000 0.0000 Cs
0.2500 0.2500 0.2500 Ga
0.5000 0.5000 0.5000 Re
```

***

The following is a PBE calculation of crystalline Cs2GaWS6 at its relaxed geometry, from the Open Quantum Materials Database.

Properties
The value obtained for the raw total energy is -4.6722 eV per atom. As for the space group: No. 225.

Structure (POSCAR):
```
Cs2GaWS6
1.0
0.0000 4.9293 4.9293
4.9293 0.0000 4.9293
4.9293 4.9293 0.0000
Cs Ga W S
2 1 1 6
Direct
0.2500 0.2500 0.2500 Cs
0.7500 0.7500 0.7500 Cs
0.0000 0.0000 0.0000 Ga
0.5000 0.5000 0.5000 W
0.2566 0.2566 0.7434 S
0.2566 0.7434 0.2566 S
0.2566 0.7434 0.7434 S
0.7434 0.2566 0.2566 S
0.7434 0.2566 0.7434 S
0.7434 0.7434 0.2566 S
```

***

The following is a PBE calculation of crystalline CsZrGaS3 at its relaxed geometry, from the Open Quantum Materials Database.

Properties
The value obtained for the raw total energy is -5.1273 eV per atom. As for the space group: No. 63.

Structure (POSCAR):
```
CsZrGaS3
1.0
2.0430 -7.6006 0.0000
2.0430 7.6006 0.0000
0.0000 0.0000 10.3472
Cs Zr Ga S
2 2 2 6
Direct
0.2427 0.7573 0.7500 Cs
0.7573 0.2427 0.2500 Cs
0.5000 0.5000 0.0000 Zr
0.5000 0.5000 0.5000 Zr
0.0319 0.9681 0.2500 Ga
0.9681 0.0319 0.7500 Ga
0.1128 0.8872 0.0573 S
0.1128 0.8872 0.4427 S
0.4519 0.5481 0.2500 S
0.5481 0.4519 0.7500 S
0.8872 0.1128 0.5573 S
0.8872 0.1128 0.9427 S
```

***

The following is a PBE calculation of crystalline CsSmGaSe3 at its relaxed geometry, from the Open Quantum Materials Database.

Properties
The value obtained for the raw total energy is -4.4404 eV per atom. As for the space group: No. 63.

Structure (POSCAR):
```
CsSmGaSe3
1.0
2.3127 -7.7781 0.0000
2.3127 7.7781 0.0000
0.0000 0.0000 11.2332
Cs Sm Ga Se
2 2 2 6
Direct
0.2440 0.7560 0.7500 Cs
0.7560 0.2440 0.2500 Cs
0.5000 0.5000 0.0000 Sm
0.5000 0.5000 0.5000 Sm
0.0202 0.9798 0.2500 Ga
0.9798 0.0202 0.7500 Ga
0.1161 0.8839 0.0648 Se
0.1161 0.8839 0.4352 Se
0.4455 0.5545 0.2500 Se
0.5545 0.4455 0.7500 Se
0.8839 0.1161 0.5648 Se
0.8839 0.1161 0.9352 Se
```

***

The following is a PBE calculation of crystalline CsTmGaSe3 at its relaxed geometry, from the Open Quantum Materials Database.

Properties
The value obtained for the raw total energy is -4.3734 eV per atom. As for the space group: No. 63.

Structure (POSCAR):
```
CsTmGaSe3
1.0
2.2746 -7.8645 0.0000
2.2746 7.8645 0.0000
0.0000 0.0000 10.8440
Cs Tm Ga Se
2 2 2 6
Direct
0.2463 0.7537 0.7500 Cs
0.7537 0.2463 0.2500 Cs
0.5000 0.5000 0.0000 Tm
0.5000 0.5000 0.5000 Tm
0.0159 0.9841 0.2500 Ga
0.9841 0.0159 0.7500 Ga
0.1108 0.8892 0.0594 Se
0.1108 0.8892 0.4406 Se
0.4429 0.5571 0.2500 Se
0.5571 0.4429 0.7500 Se
0.8892 0.1108 0.5594 Se
0.8892 0.1108 0.9406 Se
```

***

The following is a PBE calculation of crystalline CsZrGaSe3 at its relaxed geometry, from the Open Quantum Materials Database.

Properties
The value obtained for the raw total energy is -4.8296 eV per atom. As for the space group: No. 63.

Structure (POSCAR):
```
CsZrGaSe3
1.0
1.9513 -8.3167 0.0000
1.9513 8.3167 0.0000
0.0000 0.0000 11.5391
Cs Zr Ga Se
2 2 2 6
Direct
0.2153 0.7847 0.7500 Cs
0.7847 0.2153 0.2500 Cs
0.5000 0.5000 0.0000 Zr
0.5000 0.5000 0.5000 Zr
0.0990 0.9010 0.2500 Ga
0.9010 0.0990 0.7500 Ga
0.1116 0.8884 0.0100 Se
0.1116 0.8884 0.4900 Se
0.4924 0.5076 0.2500 Se
0.5076 0.4924 0.7500 Se
0.8884 0.1116 0.5100 Se
0.8884 0.1116 0.9900 Se
```

***

The following is a PBE calculation of crystalline Cs2ZrGaSe4 at its relaxed geometry, from the Open Quantum Materials Database.

Properties
The value obtained for the raw total energy is -4.4989 eV per atom. As for the space group: No. 5.

Structure (POSCAR):
```
Cs2ZrGaSe4
1.0
4.0554 -6.4304 0.0000
4.0554 6.4304 0.0000
-2.7585 0.0000 6.1449
Cs Zr Ga Se
2 1 1 4
Direct
0.0000 0.0000 0.0000 Cs
0.7147 0.2853 0.5000 Cs
0.3536 0.6464 0.5000 Zr
0.3609 0.6391 0.0000 Ga
0.0675 0.5614 0.1498 Se
0.2747 0.3523 0.6534 Se
0.4386 0.9325 0.8502 Se
0.6477 0.7253 0.3466 Se
```

***

The following is a PBE calculation of crystalline CsTbGa at its relaxed geometry, from the Open Quantum Materials Database.

Properties
The value obtained for the raw total energy is -1.8499 eV per atom. As for the space group: No. 216.

Structure (POSCAR):
```
CsTbGa
1.0
0.0000 3.7701 3.7701
3.7701 0.0000 3.7701
3.7701 3.7701 0.0000
Cs Tb Ga
1 1 1
Direct
0.0000 0.0000 0.0000 Cs
0.7500 0.7500 0.7500 Tb
0.2500 0.2500 0.2500 Ga
```

***

The following is a PBE calculation of crystalline CsTbGaTe3 at its relaxed geometry, from the Open Quantum Materials Database.

Properties
The value obtained for the raw total energy is -3.9653 eV per atom. As for the space group: No. 63.

Structure (POSCAR):
```
CsTbGaTe3
1.0
2.4207 -8.2804 0.0000
2.4207 8.2804 0.0000
0.0000 0.0000 11.7739
Cs Tb Ga Te
2 2 2 6
Direct
0.2483 0.7517 0.7500 Cs
0.7517 0.2483 0.2500 Cs
0.5000 0.5000 0.0000 Tb
0.5000 0.5000 0.5000 Tb
0.0208 0.9792 0.2500 Ga
0.9792 0.0208 0.7500 Ga
0.1180 0.8820 0.0582 Te
0.1180 0.8820 0.4418 Te
0.4391 0.5609 0.2500 Te
0.5609 0.4391 0.7500 Te
0.8820 0.1180 0.5582 Te
0.8820 0.1180 0.9418 Te
```

***

The following is a PBE calculation of crystalline CsZrGaTe3 at its relaxed geometry, from the Open Quantum Materials Database.

Properties
The value obtained for the raw total energy is -4.3586 eV per atom. As for the space group: No. 63.

Structure (POSCAR):
```
CsZrGaTe3
1.0
2.0916 -8.3747 0.0000
2.0916 8.3747 0.0000
0.0000 0.0000 12.3092
Cs Zr Ga Te
2 2 2 6
Direct
0.2320 0.7680 0.7500 Cs
0.7680 0.2320 0.2500 Cs
0.5000 0.5000 0.0000 Zr
0.5000 0.5000 0.5000 Zr
0.0886 0.9114 0.2500 Ga
0.9114 0.0886 0.7500 Ga
0.1216 0.8784 0.0163 Te
0.1216 0.8784 0.4837 Te
0.4780 0.5220 0.2500 Te
0.5220 0.4780 0.7500 Te
0.8784 0.1216 0.5163 Te
0.8784 0.1216 0.9837 Te
```

***

The following is a PBE calculation of crystalline CsTmGa at its relaxed geometry, from the Open Quantum Materials Database.

Properties
The value obtained for the raw total energy is -2.1295 eV per atom. As for the space group: No. 216.

Structure (POSCAR):
```
CsTmGa
1.0
0.0000 3.7467 3.7467
3.7467 0.0000 3.7467
3.7467 3.7467 0.0000
Cs Tm Ga
1 1 1
Direct
0.0000 0.0000 0.0000 Cs
0.2500 0.2500 0.2500 Tm
0.5000 0.5000 0.5000 Ga
```

***

The following is a PBE calculation of crystalline CsTmGa at its relaxed geometry, from the Open Quantum Materials Database.

Properties
The value obtained for the raw total energy is -1.7288 eV per atom. As for the space group: No. 216.

Structure (POSCAR):
```
CsTmGa
1.0
0.0000 3.8574 3.8574
3.8574 0.0000 3.8574
3.8574 3.8574 0.0000
Cs Tm Ga
1 1 1
Direct
0.0000 0.0000 0.0000 Cs
0.7500 0.7500 0.7500 Tm
0.2500 0.2500 0.2500 Ga
```

***

The following is a PBE calculation of crystalline CsUGa at its relaxed geometry, from the Open Quantum Materials Database.

Properties
The value obtained for the raw total energy is -3.4337 eV per atom. As for the space group: No. 216.

Structure (POSCAR):
```
CsUGa
1.0
0.0000 3.6181 3.6181
3.6181 0.0000 3.6181
3.6181 3.6181 0.0000
Cs U Ga
1 1 1
Direct
0.0000 0.0000 0.0000 Cs
0.2500 0.2500 0.2500 U
0.7500 0.7500 0.7500 Ga
```

***

The following is a PBE calculation of crystalline CsUGa at its relaxed geometry, from the Open Quantum Materials Database.

Properties
The value obtained for the raw total energy is -3.7542 eV per atom. As for the space group: No. 216.

Structure (POSCAR):
```
CsUGa
1.0
0.0000 3.8529 3.8529
3.8529 0.0000 3.8529
3.8529 3.8529 0.0000
Cs U Ga
1 1 1
Direct
0.0000 0.0000 0.0000 Cs
0.5000 0.5000 0.5000 U
0.2500 0.2500 0.2500 Ga
```

***

The following is a PBE calculation of crystalline CsGaW at its relaxed geometry, from the Open Quantum Materials Database.

Properties
The value obtained for the raw total energy is -3.5637 eV per atom. As for the space group: No. 216.

Structure (POSCAR):
```
CsGaW
1.0
0.0000 3.6663 3.6663
3.6663 0.0000 3.6663
3.6663 3.6663 0.0000
Cs Ga W
1 1 1
Direct
0.0000 0.0000 0.0000 Cs
0.2500 0.2500 0.2500 Ga
0.5000 0.5000 0.5000 W
```

***

The following is a PBE calculation of crystalline CsZrGa at its relaxed geometry, from the Open Quantum Materials Database.

Properties
The value obtained for the raw total energy is -3.1087 eV per atom. As for the space group: No. 216.

Structure (POSCAR):
```
CsZrGa
1.0
0.0000 3.6148 3.6148
3.6148 0.0000 3.6148
3.6148 3.6148 0.0000
Cs Zr Ga
1 1 1
Direct
0.0000 0.0000 0.0000 Cs
0.2500 0.2500 0.2500 Zr
0.5000 0.5000 0.5000 Ga
```

***

The following is a PBE calculation of crystalline CsZrGa at its relaxed geometry, from the Open Quantum Materials Database.

Properties
The value obtained for the raw total energy is -3.0482 eV per atom. As for the space group: No. 216.

Structure (POSCAR):
```
CsZrGa
1.0
0.0000 3.7154 3.7154
3.7154 0.0000 3.7154
3.7154 3.7154 0.0000
Cs Zr Ga
1 1 1
Direct
0.0000 0.0000 0.0000 Cs
0.5000 0.5000 0.5000 Zr
0.2500 0.2500 0.2500 Ga
```

***

The following is a PBE calculation of crystalline CsGd2 at its relaxed geometry, from the Open Quantum Materials Database.

Properties
The value obtained for the raw total energy is -2.6893 eV per atom. As for the space group: No. 227.

Structure (POSCAR):
```
CsGd2
1.0
0.0000 5.1826 5.1826
5.1826 0.0000 5.1826
5.1826 5.1826 0.0000
Cs Gd
2 4
Direct
0.1250 0.1250 0.1250 Cs
0.8750 0.8750 0.8750 Cs
0.0000 0.5000 0.5000 Gd
0.5000 0.0000 0.5000 Gd
0.5000 0.5000 0.0000 Gd
0.5000 0.5000 0.5000 Gd
```

***

The following is a PBE calculation of crystalline CsGdGe at its relaxed geometry, from the Open Quantum Materials Database.

Properties
The value obtained for the raw total energy is -3.0931 eV per atom. As for the space group: No. 216.

Structure (POSCAR):
```
CsGdGe
1.0
0.0000 3.8486 3.8486
3.8486 0.0000 3.8486
3.8486 3.8486 0.0000
Cs Gd Ge
1 1 1
Direct
0.0000 0.0000 0.0000 Cs
0.5000 0.5000 0.5000 Gd
0.2500 0.2500 0.2500 Ge
```